The following is a PBE calculation of a relaxed In2GaCoTe crystal, from Alexandria.

```
data_In2GaCoTe
_chemical_formula_sum 'In2 Ga1 Co1 Te1'
_space_group_name_H-M_alt 'P 4/m m m'
_space_group_IT_number 123
_space_group_name_Hall '-P 4 2'
_cell_length_a 5.977
_cell_length_b 5.977
_cell_length_c 4.640
_cell_angle_alpha 90.00
_cell_angle_beta 90.00
_cell_angle_gamma 90.00
loop_
_atom_site_label
_atom_site_type_symbol
_atom_site_fract_x
_atom_site_fract_y
_atom_site_fract_z
In1 In 0.000 0.500 0.000
Ga1 Ga 0.000 0.000 0.500
Co1 Co 0.500 0.500 0.500
Te1 Te 0.500 0.500 0.000
```

Output
theoretical density = 4.9 g/cm3
uncorrected energy = -3.012 eV/atom
Fermi-level density of states = 6.6 states/eV/f.u.
V = 165.7 Å³ per cell
energy relative to the elements, uncorrected = 738 meV/atom